# 1
{"formula": "ZnFe3C", "functional": "GGA-PBEsol", "state": "relaxed", "vol_a3_per_atom": 10.3, "polymorph_energy_kj_per_mol_atoms": 0.0, "e_form_kcal_per_mol_atoms": -0.89, "dos_ef_per_ev_cell": 4.0, "rho_g_cm3": 7.90, "cell": [[-2.844, -2.226, -0.893], [0.396, -1.802, 3.230], [-2.365, 2.374, 1.614]], "species": ["Fe", "Fe", "Fe", "Zn", "C"], "frac_coords": [[0.000, 0.000, 0.500], [0.500, 0.000, 0.000], [0.000, 0.500, 0.000], [0.500, 0.500, 0.500], [0.000, 0.000, 0.000]]}

***

# 2
{"formula": "La3Y", "functional": "GGA-PBEsol", "state": "relaxed", "vol_a3_per_atom": 33.0, "e_form_kcal_per_mol_atoms": 0.18, "dos_ef_per_ev_cell": 5.7, "rho_g_cm3": 6.36, "cell": [[-2.648, -2.335, 0.814], [3.910, -4.745, -0.890], [2.203, 2.193, 5.399]], "species": ["Y", "La", "La", "La"], "frac_coords": [[0.500, 0.000, 0.000], [0.750, 0.751, 0.500], [0.250, 0.249, 0.500], [0.000, 0.500, 0.000]]}

***

# 3
{"formula": "Sr2CaBe", "functional": "GGA-PBEsol", "state": "relaxed", "vol_a3_per_atom": 32.8, "e_form_kcal_per_mol_atoms": 10.85, "dos_ef_per_ev_cell": 2.1, "rho_g_cm3": 2.84, "cell": [[5.700, 0.000, 0.000], [0.000, 5.700, 0.000], [-2.850, -2.850, 4.038]], "species": ["Be", "Sr", "Sr", "Ca"], "frac_coords": [[0.500, 0.500, 0.000], [0.750, 0.250, 0.500], [0.000, 0.000, 0.000], [0.250, 0.750, 0.500]]}

***

# 4
{"formula": "Fe2IrOs", "functional": "GGA-PBEsol", "state": "relaxed", "vol_a3_per_atom": 13.0, "e_form_kcal_per_mol_atoms": 7.59, "dos_ef_per_ev_cell": 5.2, "rho_g_cm3": 15.74, "cell": [[-0.966, -2.649, -3.103], [-0.676, -4.052, 0.838], [-3.874, -1.580, -0.277]], "species": ["Ir", "Fe", "Fe", "Os"], "frac_coords": [[0.500, 0.500, 0.500], [0.000, 0.000, 0.000], [0.750, 0.750, 0.750], [0.250, 0.250, 0.250]]}

***

# 5
{"formula": "CuS2BrN", "functional": "GGA-PBEsol", "state": "relaxed", "vol_a3_per_atom": 15.9, "raw_formation_energy_ev_per_atom": 1.098, "dos_ef_per_ev_cell": 3.9, "rho_g_cm3": 4.63, "cell": [[-1.138, -1.306, 3.177], [0.814, -4.364, -1.502], [4.373, 0.242, 1.667]], "species": ["Br", "S", "S", "Cu", "N"], "frac_coords": [[0.500, 0.500, 0.500], [0.000, 0.500, 0.000], [0.000, 0.000, 0.500], [0.000, 0.000, 0.000], [0.500, 0.000, 0.000]]}

***

# 6
{"formula": "LiPb2", "functional": "GGA-PBEsol", "state": "relaxed", "vol_a3_per_atom": 24.1, "polymorph_energy_kj_per_mol_atoms": 0.0, "e_form_kcal_per_mol_atoms": -3.78, "dos_ef_per_ev_cell": 1.9, "rho_g_cm3": 9.68, "cell": [[5.736, 0.230, 0.000], [-2.626, 5.105, 0.000], [-1.555, -2.668, 4.839]], "species": ["Pb", "Pb", "Pb", "Pb", "Li", "Li"], "frac_coords": [[0.824, 0.676, 0.500], [0.324, 0.824, 0.147], [0.676, 0.176, 0.853], [0.176, 0.324, 0.500], [0.750, 0.750, 0.000], [0.250, 0.250, 0.000]]}

***

# 7
{"formula": "AlCrRh", "functional": "GGA-PBEsol", "state": "relaxed", "vol_a3_per_atom": 13.1, "e_form_kcal_per_mol_atoms": -3.24, "dos_ef_per_ev_cell": 3.0, "rho_g_cm3": 7.71, "cell": [[-0.941, -1.066, 2.290], [2.240, -0.990, -1.127], [3.430, 4.026, 3.284]], "species": ["Rh", "Al", "Cr"], "frac_coords": [[0.667, 0.333, 0.341], [0.000, 0.000, 0.998], [0.333, 0.667, 0.661]]}

***

# 8
{"formula": "Cd2HgRh", "functional": "GGA-PBEsol", "state": "relaxed", "vol_a3_per_atom": 17.7, "e_form_kcal_per_mol_atoms": -1.15, "dos_ef_per_ev_cell": 2.3, "rho_g_cm3": 12.41, "cell": [[-3.693, 1.132, -1.523], [1.066, -1.494, -3.695], [-1.556, -3.678, 1.038]], "species": ["Hg", "Cd", "Cd", "Rh"], "frac_coords": [[0.500, 0.500, 0.500], [0.000, 0.500, 0.000], [0.000, 0.000, 0.500], [0.500, 0.000, 0.000]]}

***

# 9
{"formula": "NaHf2P3O12", "functional": "GGA-PBEsol", "state": "relaxed", "vol_a3_per_atom": 14.0, "raw_formation_energy_ev_per_atom": -2.798, "dos_ef_per_ev_cell": 0.0, "rho_g_cm3": 4.38, "cell": [[-3.293, 7.131, -3.970], [-2.516, -0.421, -8.423], [-8.861, 0.246, -1.963]], "species": ["O", "O", "O", "O", "O", "O", "O", "O", "O", "O", "O", "O", "O", "O", "O", "O", "O", "O", "O", "O", "O", "O", "O", "O", "Na", "Na", "P", "P", "P", "P", "P", "P", "Hf", "Hf", "Hf", "Hf"], "frac_coords": [[0.063, 0.279, 0.741], [0.563, 0.418, 0.241], [0.779, 0.563, 0.241], [0.496, 0.709, 0.917], [0.504, 0.291, 0.083], [0.209, 0.996, 0.417], [0.221, 0.437, 0.759], [0.918, 0.063, 0.741], [0.721, 0.082, 0.259], [0.582, 0.221, 0.759], [0.622, 0.791, 0.583], [0.418, 0.779, 0.241], [0.437, 0.582, 0.759], [0.878, 0.496, 0.917], [0.378, 0.209, 0.417], [0.791, 0.004, 0.583], [0.996, 0.378, 0.417], [0.291, 0.122, 0.083], [0.279, 0.918, 0.741], [0.004, 0.622, 0.583], [0.122, 0.504, 0.083], [0.082, 0.937, 0.259], [0.937, 0.721, 0.259], [0.709, 0.878, 0.917], [0.000, 0.000, 0.000], [0.500, 0.500, 0.500], [0.041, 0.459, 0.750], [0.459, 0.750, 0.750], [0.959, 0.541, 0.250], [0.250, 0.959, 0.250], [0.541, 0.250, 0.250], [0.750, 0.041, 0.750], [0.855, 0.855, 0.434], [0.355, 0.355, 0.934], [0.145, 0.145, 0.566], [0.645, 0.645, 0.066]]}

***

# 10
{"formula": "LiCdTe", "functional": "GGA-PBEsol", "state": "relaxed", "vol_a3_per_atom": 23.0, "raw_formation_energy_ev_per_atom": -0.233, "polymorph_energy_kj_per_mol_atoms": 5.6, "dos_ef_per_ev_cell": 1.4, "rho_g_cm3": 5.93, "cell": [[3.231, 0.000, 0.000], [0.000, 3.231, 0.000], [-1.616, -1.616, 6.620]], "species": ["Cd", "Li", "Te"], "frac_coords": [[0.017, 0.017, 0.034], [0.670, 0.670, 0.341], [0.313, 0.313, 0.625]]}

***

# 11
{"formula": "GdFe2SiC", "functional": "GGA-PBEsol", "state": "relaxed", "vol_a3_per_atom": 12.9, "raw_formation_energy_ev_per_atom": -0.578, "dos_ef_per_ev_cell": 8.5, "rho_g_cm3": 7.98, "cell": [[3.757, 0.000, 0.000], [-1.878, 5.159, 0.000], [0.000, 0.000, 6.639]], "species": ["Fe", "Fe", "Fe", "Fe", "Gd", "Gd", "Si", "Si", "C", "C"], "frac_coords": [[0.834, 0.669, 0.064], [0.166, 0.331, 0.564], [0.166, 0.331, 0.936], [0.834, 0.669, 0.436], [0.552, 0.105, 0.250], [0.448, 0.895, 0.750], [0.271, 0.542, 0.250], [0.729, 0.458, 0.750], [0.000, 0.000, 0.000], [0.000, 0.000, 0.500]]}

***

# 12
{"formula": "MgFe2Co", "functional": "GGA-PBEsol", "state": "relaxed", "vol_a3_per_atom": 12.2, "e_form_kcal_per_mol_atoms": 5.98, "dos_ef_per_ev_cell": 4.0, "rho_g_cm3": 6.66, "cell": [[4.096, 0.000, 0.000], [2.048, 3.548, 0.000], [2.048, 1.183, 3.345]], "species": ["Fe", "Fe", "Mg", "Co"], "frac_coords": [[0.250, 0.250, 0.250], [0.750, 0.750, 0.750], [0.500, 0.500, 0.500], [0.000, 0.000, 0.000]]}